*i*
Compound: LaNi2Hg2
Source: the Alexandria database
Functional: PBE
Structure: optimized geometry

Unit cell a=7.212 b=7.212 c=3.824 alpha=90.00 beta=90.00 gamma=90.00
Sites, in units of the cell vectors:
Hg 0.161 0.661 0.500
Ni 0.123 0.377 0.000
Ni 0.377 0.877 0.000
Hg 0.339 0.161 0.500
La 0.500 0.500 0.000
Ni 0.877 0.623 0.000
La 0.000 0.000 0.000
Hg 0.661 0.839 0.500
Ni 0.623 0.123 0.000
Hg 0.839 0.339 0.500

Computed properties:
Density of states at the Fermi level: 7.60 states/eV per cell
Space-group type: P4/mbm, No. 127

*ii*
Compound: LaNi2Hg2
Source: the Alexandria database
Functional: PBE
Structure: optimized geometry

Unit cell a=4.284 b=4.284 c=6.393 alpha=70.42 beta=70.42 gamma=90.00
Sites, in units of the cell vectors:
Ni 0.601 0.601 0.798
La 0.000 0.000 0.000
Ni 0.399 0.399 0.202
Hg 0.250 0.750 0.500
Hg 0.750 0.250 0.500

Computed properties:
Density of states at the Fermi level: 3.81 states/eV per cell
Space-group type: I4/mmm, No. 139

*iii*
Compound: LaNi2Hg2
Source: the Alexandria database
Functional: PBE
Structure: optimized geometry

Unit cell a=4.731 b=4.731 c=5.840 alpha=66.10 beta=66.10 gamma=90.00
Sites, in units of the cell vectors:
Ni 0.250 0.750 0.500
Hg 0.355 0.355 0.290
Hg 0.645 0.645 0.710
Ni 0.750 0.250 0.500
La 0.000 0.000 0.000

Computed properties:
Density of states at the Fermi level: 5.41 states/eV per cell
Space-group type: I4/mmm, No. 139

Most stable: *ii* (next structure +108 meV/atom)